# ZrP4O12

A relaxed ZrP4O12 crystal (PBE, Alexandria).

Computed properties:
- Total energy: -129.7 eV per formula unit

Unit cell a=20.900 b=9.929 c=8.623 alpha=90.00 beta=90.00 gamma=90.00
Positions (direct):
Zr: 0.116 0.020 0.000
Zr: 0.133 0.486 0.499
Zr: 0.367 0.486 0.999
Zr: 0.384 0.020 0.500
Zr: 0.616 0.980 0.000
Zr: 0.633 0.514 0.499
Zr: 0.867 0.514 0.999
Zr: 0.884 0.980 0.500
P: 0.012 0.508 0.773
P: 0.047 0.994 0.624
P: 0.093 0.741 0.761
P: 0.122 0.365 0.886
P: 0.124 0.142 0.383
P: 0.165 0.767 0.262
P: 0.203 0.511 0.121
P: 0.239 0.012 0.267
P: 0.261 0.012 0.767
P: 0.297 0.511 0.621
P: 0.335 0.767 0.762
P: 0.376 0.142 0.883
P: 0.378 0.365 0.386
P: 0.407 0.741 0.261
P: 0.453 0.994 0.124
P: 0.488 0.508 0.273
P: 0.512 0.492 0.773
P: 0.547 0.006 0.624
P: 0.593 0.259 0.761
P: 0.622 0.635 0.886
P: 0.624 0.858 0.383
P: 0.665 0.233 0.262
P: 0.703 0.489 0.121
P: 0.739 0.988 0.267
P: 0.761 0.988 0.767
P: 0.797 0.489 0.621
P: 0.835 0.233 0.762
P: 0.876 0.858 0.883
P: 0.878 0.635 0.386
P: 0.907 0.259 0.261
P: 0.953 0.006 0.124
P: 0.988 0.492 0.273
O: 0.016 0.980 0.047
O: 0.035 0.655 0.834
O: 0.037 0.488 0.610
O: 0.047 0.403 0.886
O: 0.056 0.833 0.636
O: 0.058 0.502 0.302
O: 0.062 0.060 0.777
O: 0.094 0.120 0.227
O: 0.102 0.026 0.501
O: 0.114 0.277 0.457
O: 0.116 0.855 0.184
O: 0.119 0.828 0.888
O: 0.129 0.233 0.969
O: 0.139 0.647 0.684
O: 0.144 0.682 0.396
O: 0.149 0.376 0.726
O: 0.149 0.485 0.993
O: 0.186 0.443 0.270
O: 0.192 0.036 0.795
O: 0.199 0.111 0.379
O: 0.199 0.673 0.135
O: 0.212 0.026 0.104
O: 0.223 0.860 0.325
O: 0.234 0.482 0.545
O: 0.266 0.482 0.045
O: 0.277 0.860 0.825
O: 0.288 0.026 0.604
O: 0.301 0.111 0.879
O: 0.301 0.673 0.635
O: 0.308 0.036 0.295
O: 0.314 0.443 0.770
O: 0.351 0.376 0.226
O: 0.351 0.485 0.493
O: 0.356 0.682 0.896
O: 0.361 0.647 0.184
O: 0.371 0.233 0.469
O: 0.381 0.828 0.388
O: 0.384 0.855 0.684
O: 0.386 0.277 0.957
O: 0.398 0.026 0.001
O: 0.406 0.120 0.727
O: 0.438 0.060 0.277
O: 0.442 0.502 0.802
O: 0.444 0.833 0.136
O: 0.453 0.403 0.386
O: 0.463 0.488 0.110
O: 0.465 0.655 0.334
O: 0.484 0.980 0.547
O: 0.516 0.020 0.047
O: 0.535 0.345 0.834
O: 0.537 0.512 0.610
O: 0.547 0.597 0.886
O: 0.556 0.167 0.636
O: 0.558 0.498 0.302
O: 0.562 0.940 0.777
O: 0.594 0.880 0.227
O: 0.602 0.974 0.501
O: 0.614 0.723 0.457
O: 0.616 0.145 0.184
O: 0.619 0.172 0.888
O: 0.629 0.767 0.969
O: 0.639 0.353 0.684
O: 0.644 0.318 0.396
O: 0.649 0.515 0.993
O: 0.649 0.624 0.726
O: 0.686 0.557 0.270
O: 0.692 0.964 0.795
O: 0.699 0.327 0.135
O: 0.699 0.889 0.379
O: 0.712 0.974 0.104
O: 0.723 0.140 0.325
O: 0.734 0.518 0.545
O: 0.766 0.518 0.045
O: 0.777 0.140 0.825
O: 0.788 0.974 0.604
O: 0.801 0.327 0.635
O: 0.801 0.889 0.879
O: 0.808 0.964 0.295
O: 0.814 0.557 0.770
O: 0.851 0.515 0.493
O: 0.851 0.624 0.226
O: 0.856 0.318 0.896
O: 0.861 0.353 0.184
O: 0.871 0.767 0.469
O: 0.881 0.172 0.388
O: 0.884 0.145 0.684
O: 0.886 0.723 0.957
O: 0.898 0.974 0.001
O: 0.906 0.880 0.727
O: 0.938 0.940 0.277
O: 0.942 0.498 0.802
O: 0.944 0.167 0.136
O: 0.953 0.597 0.386
O: 0.963 0.512 0.110
O: 0.965 0.345 0.334
O: 0.984 0.020 0.547

---

# LaYNb

A relaxed LaYNb crystal (PBE, Alexandria).

Computed properties:
- Energy of formation from the pure elements: 0.3 eV per formula unit

Unit cell a=3.546 b=3.546 c=13.692 alpha=90.00 beta=90.00 gamma=90.00
Positions (direct):
La: 0.250 0.250 0.100
La: 0.750 0.750 0.900
Y: 0.250 0.250 0.693
Y: 0.750 0.750 0.307
Nb: 0.250 0.250 0.455
Nb: 0.750 0.750 0.545